K4Pr3VO8 | PBE with a Hubbard U | optimized geometry

The total energy comes out at -6.434 eV/atom. Its density of states at the Fermi level is 0.00 states/eV per cell.

The structure belongs to space group C2/m (No. 12); the cell edges are 12.393, 7.076 and 7.509 Å and the angles 90.00°, 123.20° and 90.00°. The inequivalent atoms are K at (0.000, 0.000, 0.000), K at (0.000, 0.500, 0.000), K at (0.250, 0.250, 0.000), Pr at (0.000, 0.000, 0.500), Pr at (0.250, 0.250, 0.500), V at (0.000, 0.500, 0.500), O at (0.015, 0.277, 0.321), O at (0.231, 0.000, 0.696) and O at (0.231, 0.500, 0.699).